Record 1
The following is a DFT calculation (PBE) of an optimized crystal structure of KAgGe2Cl.

Geometry as POSCAR:
```
KAgGe2Cl
1.0
5.134 0.000 0.000
0.000 5.134 0.000
0.000 0.000 5.533
K Ag Ge Cl
1 1 2 1
Cartesian
0.000 0.000 0.000
2.567 2.567 0.000
0.000 2.567 2.766
2.567 0.000 2.766
0.000 0.000 2.766
```

Properties
The total energy is -2.63 eV per atom. For the uncorrected formation energy, the calculation gives 0.379 eV/atom. As for the spin magnetization: 0.00 μB per cell. The value obtained for the density of states at the Fermi level is 0.530 states/eV/atom.

***

Record 2
The following is a DFT calculation (PBE) of an optimized crystal structure of KAg2GeCl6.

Geometry as POSCAR:
```
KAg2GeCl6
1.0
6.939 -6.056 0.000
6.939 6.056 0.000
-3.764 0.000 7.387
K Ag Ge Cl
2 4 2 12
Cartesian
4.116 4.085 5.540
5.998 -4.085 1.847
2.301 0.361 6.156
4.183 -0.361 2.462
5.931 0.361 4.925
7.813 -0.361 1.231
5.998 3.685 1.847
4.116 -3.685 5.540
-1.122 0.948 5.062
1.577 2.928 7.063
0.760 -0.948 1.369
3.067 1.247 3.956
6.655 2.928 4.018
4.949 -1.247 0.262
5.165 1.247 7.125
3.459 -2.928 3.369
7.047 -1.247 3.432
9.354 0.948 6.019
8.537 -2.928 0.325
11.236 -0.948 2.325
```

Properties
The total energy is -3.08 eV per atom. For the uncorrected formation energy, the calculation gives -0.830 eV/atom. As for the spin magnetization: 2.09 μB per cell. The value obtained for the density of states at the Fermi level is 0.104 states/eV/atom.

***

Record 3
The following is a DFT calculation (PBE) of an optimized crystal structure of K2Ag2GeCl6.

Geometry as POSCAR:
```
K2Ag2GeCl6
1.0
6.636 -3.788 0.000
6.636 3.788 0.000
-3.637 0.000 6.482
K Ag Ge Cl
2 2 1 6
Cartesian
2.464 0.000 1.131
7.171 0.000 5.352
2.944 0.000 5.010
6.692 0.000 1.472
-1.818 0.000 3.241
5.055 1.943 1.278
0.799 0.000 3.771
4.581 1.943 5.205
5.055 -1.943 1.278
8.837 0.000 2.711
4.581 -1.943 5.205
```

Properties
The total energy is -3.21 eV per atom. For the uncorrected formation energy, the calculation gives -1.070 eV/atom. As for the spin magnetization: 0.00 μB per cell. The value obtained for the density of states at the Fermi level is 0.000 states/eV/atom.

***

Record 4
The following is a DFT calculation (PBE) of an optimized crystal structure of LaAgGeCl2.

Geometry as POSCAR:
```
LaAgGeCl2
1.0
5.386 0.000 0.000
0.000 5.386 0.000
0.000 0.000 6.379
La Ag Ge Cl
1 1 1 2
Cartesian
0.000 0.000 0.000
0.000 0.000 3.190
2.693 2.693 3.190
0.000 2.693 0.000
2.693 0.000 0.000
```

Properties
The total energy is -3.67 eV per atom. For the uncorrected formation energy, the calculation gives -0.450 eV/atom. As for the spin magnetization: 1.90 μB per cell. The value obtained for the density of states at the Fermi level is 0.522 states/eV/atom.

***

Record 5
The following is a DFT calculation (PBE) of an optimized crystal structure of Na2AgGeCl5.

Geometry as POSCAR:
```
Na2AgGeCl5
1.0
1.992 -8.486 0.000
1.992 8.486 0.000
0.000 0.000 13.987
Na Ag Ge Cl
4 2 2 10
Cartesian
1.992 7.218 6.994
1.992 6.169 1.128
1.992 -6.169 8.122
1.992 -7.218 0.000
1.992 0.660 3.837
1.992 -0.660 10.831
1.992 4.300 11.985
1.992 -4.300 4.992
1.992 7.236 12.377
1.992 4.202 3.229
1.992 4.171 6.999
1.992 1.878 12.140
1.992 0.181 8.467
1.992 -0.181 1.474
1.992 -1.878 5.146
1.992 -4.171 0.005
1.992 -4.202 10.222
1.992 -7.236 5.383
```

Properties
The total energy is -3.29 eV per atom. For the uncorrected formation energy, the calculation gives -1.137 eV/atom. As for the spin magnetization: 0.00 μB per cell. The value obtained for the density of states at the Fermi level is 0.000 states/eV/atom.

***

Record 6
The following is a DFT calculation (PBE) of an optimized crystal structure of NaAg2GeCl6.

Geometry as POSCAR:
```
NaAg2GeCl6
1.0
6.318 -5.937 0.000
6.318 5.937 0.000
-0.889 0.000 7.034
Na Ag Ge Cl
2 4 2 12
Cartesian
5.652 4.903 5.276
6.096 -4.903 1.759
3.473 1.156 4.893
3.917 -1.156 1.376
7.830 1.156 5.658
8.275 -1.156 2.141
6.096 2.896 1.759
5.652 -2.896 5.276
0.899 1.186 4.417
4.095 2.984 6.557
1.344 -1.186 0.900
4.471 1.145 2.524
7.208 2.984 3.994
4.026 -1.145 6.041
7.721 1.145 0.993
4.539 -2.984 3.040
7.277 -1.145 4.511
10.404 1.186 6.135
7.653 -2.984 0.477
10.848 -1.186 2.618
```

Properties
The total energy is -3.08 eV per atom. For the uncorrected formation energy, the calculation gives -0.807 eV/atom. As for the spin magnetization: 0.00 μB per cell. The value obtained for the density of states at the Fermi level is 0.495 states/eV/atom.

***

Record 7
The following is a DFT calculation (PBE) of an optimized crystal structure of AgGeClO2.

Geometry as POSCAR:
```
AgGeClO2
1.0
3.046 -6.357 0.000
3.046 6.357 0.000
0.000 0.000 5.343
Ag Ge Cl O
2 2 2 4
Cartesian
3.046 5.349 4.008
3.046 -5.349 1.336
3.046 0.478 4.008
3.046 -0.478 1.336
3.046 2.695 4.008
3.046 -2.695 1.336
1.816 0.000 0.000
1.816 0.000 2.672
4.276 0.000 0.000
4.276 0.000 2.672
```

Properties
The total energy is -4.79 eV per atom. For the uncorrected formation energy, the calculation gives -0.948 eV/atom. As for the spin magnetization: 0.00 μB per cell.

***

Record 8
The following is a DFT calculation (PBE) of an optimized crystal structure of Ag2GeCl2O2.

Geometry as POSCAR:
```
Ag2GeCl2O2
1.0
6.052 -1.907 0.000
6.052 1.907 0.000
-3.408 0.000 5.491
Ag Ge Cl O
2 1 2 2
Cartesian
1.861 0.000 0.948
6.835 0.000 4.543
-1.704 0.000 2.746
2.726 0.000 3.710
5.971 0.000 1.781
-0.817 0.000 4.208
9.514 0.000 1.284
```

Properties
The total energy is -3.98 eV per atom. For the uncorrected formation energy, the calculation gives -0.560 eV/atom. As for the spin magnetization: 0.00 μB per cell.

***

Record 9
The following is a DFT calculation (PBE) of an optimized crystal structure of AgGeP2Cl.

Geometry as POSCAR:
```
AgGeP2Cl
1.0
4.776 0.000 0.000
0.000 4.776 0.000
0.000 0.000 5.196
Ag Ge P Cl
1 1 2 1
Cartesian
0.000 0.000 0.000
2.388 2.388 2.598
0.000 2.388 0.000
2.388 0.000 0.000
0.000 0.000 2.598
```

Properties
The total energy is -3.12 eV per atom. For the uncorrected formation energy, the calculation gives 0.904 eV/atom. As for the spin magnetization: 1.12 μB per cell. Its relative energy among the computed polymorphs is 0.197 eV per atom. The value obtained for the density of states at the Fermi level is 0.704 states/eV/atom.

***

Record 10
The following is a DFT calculation (PBE) of an optimized crystal structure of AgGeP2Cl.

Geometry as POSCAR:
```
AgGeP2Cl
1.0
4.769 0.000 0.000
0.000 4.769 0.000
0.000 0.000 5.010
Ag Ge P Cl
1 1 2 1
Cartesian
0.000 0.000 0.000
2.385 2.385 2.505
0.000 2.385 2.505
2.385 0.000 2.505
2.385 2.385 0.000
```

Properties
The total energy is -3.32 eV per atom. For the uncorrected formation energy, the calculation gives 0.707 eV/atom. As for the spin magnetization: 1.20 μB per cell. Its relative energy among the computed polymorphs is 0.000 eV per atom. The value obtained for the density of states at the Fermi level is 0.543 states/eV/atom.

***

Record 11
The following is a DFT calculation (PBE) of an optimized crystal structure of Ag2GePbCl6.

Geometry as POSCAR:
```
Ag2GePbCl6
1.0
6.847 -5.376 0.000
6.847 5.376 0.000
-3.175 0.000 7.613
Ag Ge Pb Cl
4 2 2 12
Cartesian
1.927 0.485 1.533
0.340 -0.485 5.340
10.179 0.485 2.273
8.591 -0.485 6.080
6.053 2.579 1.903
4.466 -2.579 5.710
4.466 2.019 5.710
6.053 -2.019 1.903
0.300 1.203 3.446
1.932 2.408 7.041
-1.288 -1.203 7.252
4.430 0.939 2.556
7.000 2.408 4.379
2.842 -0.939 6.362
7.677 0.939 1.251
3.519 -2.408 3.234
6.089 -0.939 5.057
11.806 1.203 0.361
8.587 -2.408 0.572
10.219 -1.203 4.167
```

Properties
The total energy is -3.23 eV per atom. For the uncorrected formation energy, the calculation gives -0.723 eV/atom. As for the spin magnetization: 0.00 μB per cell. The value obtained for the density of states at the Fermi level is 0.000 states/eV/atom.

***

Record 12
The following is a DFT calculation (PBE) of an optimized crystal structure of Rb2AgGeCl5.

Geometry as POSCAR:
```
Rb2AgGeCl5
1.0
2.342 -9.081 0.000
2.342 9.081 0.000
0.000 0.000 13.647
Rb Ag Ge Cl
4 2 2 10
Cartesian
2.342 7.206 6.824
2.342 6.343 2.083
2.342 -6.343 8.907
2.342 -7.206 0.000
2.342 4.966 12.248
2.342 -4.966 5.425
2.342 0.929 3.648
2.342 -0.929 10.471
2.342 7.615 11.652
2.342 3.939 6.724
2.342 2.977 2.522
2.342 2.557 11.343
2.342 0.234 8.267
2.342 -0.234 1.444
2.342 -2.557 4.519
2.342 -2.977 9.345
2.342 -3.939 13.548
2.342 -7.615 4.828
```

Properties
The total energy is -3.30 eV per atom. For the uncorrected formation energy, the calculation gives -1.226 eV/atom. As for the spin magnetization: 0.00 μB per cell. The value obtained for the density of states at the Fermi level is 0.000 states/eV/atom.

***

Record 13
The following is a DFT calculation (PBE) of an optimized crystal structure of Rb4AgGe3Cl12.

Geometry as POSCAR:
```
Rb4AgGe3Cl12
1.0
-5.238 5.238 5.238
5.238 -5.238 5.238
5.238 5.238 -5.238
Rb Ag Ge Cl
4 1 3 12
Cartesian
2.619 2.619 -2.619
2.619 -2.619 2.619
-2.619 2.619 2.619
2.619 2.619 2.619
0.000 0.000 0.000
5.238 0.000 0.000
0.000 5.238 0.000
0.000 0.000 5.238
2.683 0.000 0.000
7.793 0.000 0.000
5.238 2.619 0.000
5.238 0.000 2.619
0.000 2.683 0.000
0.000 0.000 2.683
2.619 5.238 0.000
2.619 0.000 5.238
0.000 7.793 0.000
0.000 0.000 7.793
0.000 5.238 2.619
0.000 2.619 5.238
```

Properties
The total energy is -3.38 eV per atom. For the uncorrected formation energy, the calculation gives -1.241 eV/atom. As for the spin magnetization: 0.00 μB per cell. The value obtained for the density of states at the Fermi level is 0.183 states/eV/atom.

***

Record 14
The following is a DFT calculation (PBE) of an optimized crystal structure of Rb2Ag2GeCl6.

Geometry as POSCAR:
```
Rb2Ag2GeCl6
1.0
6.736 -3.820 0.000
6.736 3.820 0.000
-3.769 0.000 6.637
Rb Ag Ge Cl
2 2 1 6
Cartesian
2.417 0.000 1.243
7.287 0.000 5.394
2.916 0.000 5.160
6.788 0.000 1.476
-1.884 0.000 3.318
5.222 1.985 1.374
0.686 0.000 4.066
4.482 1.985 5.263
5.222 -1.985 1.374
9.018 0.000 2.571
4.482 -1.985 5.263
```

Properties
The total energy is -3.20 eV per atom. For the uncorrected formation energy, the calculation gives -1.079 eV/atom. As for the spin magnetization: 0.00 μB per cell. The value obtained for the density of states at the Fermi level is 0.000 states/eV/atom.

***

Record 15
The following is a DFT calculation (PBE) of an optimized crystal structure of Ag2GeRuCl.

Geometry as POSCAR:
```
Ag2GeRuCl
1.0
4.896 0.000 0.000
0.000 4.896 0.000
0.000 0.000 5.016
Ag Ge Ru Cl
2 1 1 1
Cartesian
0.000 2.448 0.000
2.448 0.000 0.000
0.000 0.000 0.000
2.448 2.448 2.508
0.000 0.000 2.508
```

Properties
The total energy is -3.23 eV per atom. For the uncorrected formation energy, the calculation gives 1.058 eV/atom. As for the spin magnetization: 3.17 μB per cell. The value obtained for the density of states at the Fermi level is 0.912 states/eV/atom.

***

Record 16
The following is a DFT calculation (PBE) of an optimized crystal structure of Ag5GeS4Cl2.

Geometry as POSCAR:
```
Ag5GeS4Cl2
1.0
7.686 0.000 0.000
0.000 5.590 3.152
0.000 -5.590 3.152
Ag Ge S Cl
5 1 4 2
Cartesian
0.000 0.000 0.000
2.175 -2.070 3.009
2.175 2.070 3.009
5.511 -2.070 3.009
5.511 2.070 3.009
3.843 0.000 0.248
2.004 0.000 1.524
3.843 -1.834 5.217
3.843 1.834 5.217
5.682 0.000 1.524
0.000 -1.887 4.427
0.000 1.887 4.427
```

Properties
The total energy is -3.49 eV per atom. For the uncorrected formation energy, the calculation gives -0.238 eV/atom. As for the spin magnetization: 0.00 μB per cell. The value obtained for the density of states at the Fermi level is 1.006 states/eV/atom.

***

Record 17
The following is a DFT calculation (PBE) of an optimized crystal structure of AgGeSCl2.

Geometry as POSCAR:
```
AgGeSCl2
1.0
4.887 0.000 0.000
0.000 4.887 0.000
0.000 0.000 5.049
Ag Ge S Cl
1 1 1 2
Cartesian
0.000 0.000 0.000
2.443 2.443 2.525
0.000 0.000 2.525
0.000 2.443 0.000
2.443 0.000 0.000
```

Properties
The total energy is -2.87 eV per atom. For the uncorrected formation energy, the calculation gives 0.186 eV/atom. As for the spin magnetization: 0.00 μB per cell. Its relative energy among the computed polymorphs is 0.267 eV per atom. The value obtained for the density of states at the Fermi level is 0.126 states/eV/atom.

***

Record 18
The following is a DFT calculation (PBE) of an optimized crystal structure of AgGeSCl2.

Geometry as POSCAR:
```
AgGeSCl2
1.0
4.989 0.000 0.000
0.000 4.989 0.000
0.000 0.000 4.735
Ag Ge S Cl
1 1 1 2
Cartesian
0.000 0.000 0.000
2.494 2.494 2.367
2.494 2.494 0.000
0.000 2.494 2.367
2.494 0.000 2.367
```

Properties
The total energy is -3.14 eV per atom. For the uncorrected formation energy, the calculation gives -0.081 eV/atom. As for the spin magnetization: 0.00 μB per cell. Its relative energy among the computed polymorphs is 0.000 eV per atom. The value obtained for the density of states at the Fermi level is 0.253 states/eV/atom.

***

Record 19
The following is a DFT calculation (PBE) of an optimized crystal structure of Ag6GeS4Cl2.

Geometry as POSCAR:
```
Ag6GeS4Cl2
1.0
6.394 0.000 0.000
0.000 7.722 0.000
0.000 0.000 23.437
Ag Ge S Cl
24 4 16 8
Cartesian
0.000 0.000 0.000
0.000 3.861 0.000
0.109 0.463 10.202
0.109 3.398 10.202
0.357 5.791 3.415
0.627 0.304 6.570
0.627 3.557 6.570
2.570 4.164 18.289
2.570 7.418 18.289
2.840 1.930 15.133
3.088 4.324 21.921
3.088 7.259 21.921
3.197 0.000 11.719
3.197 3.861 11.719
3.306 0.463 1.516
3.306 3.398 1.516
3.554 5.791 8.304
3.824 0.304 5.148
3.824 3.557 5.148
5.767 4.164 16.867
5.767 7.418 16.867
6.037 1.930 20.022
6.285 4.324 13.235
6.285 7.259 13.235
0.060 1.930 3.083
3.137 5.791 14.802
3.257 1.930 8.635
6.333 5.791 20.354
1.169 3.915 20.432
1.169 7.667 20.432
1.221 1.930 1.088
1.464 1.930 4.810
1.733 5.791 16.529
1.975 5.791 12.807
2.028 0.054 8.713
2.028 3.807 8.713
4.366 3.915 14.724
4.366 7.667 14.724
4.418 1.930 10.630
4.661 1.930 6.908
4.930 5.791 18.627
5.172 5.791 22.349
5.225 0.054 3.005
5.225 3.807 3.005
0.808 1.930 16.670
1.073 1.930 12.776
2.124 5.791 1.058
2.389 5.791 4.951
4.005 1.930 18.486
4.270 1.930 22.379
5.321 5.791 10.661
5.586 5.791 6.767
```

Properties
The total energy is -3.48 eV per atom. For the uncorrected formation energy, the calculation gives -0.255 eV/atom. As for the spin magnetization: 0.00 μB per cell.